The following is a DFT calculation (PBE) of an optimized crystal structure of BaRe3H.

Lattice parameters (Å, degrees): 4.287 4.287 4.287 90.00 90.00 90.00
Space group Pm-3m (No. 221)
One atom of each set of equivalent atoms:
Ba  0.000  0.000  0.000 (multiplicity 1)
Re  0.000  0.500  0.500 (multiplicity 3)
H  0.500  0.500  0.500 (multiplicity 1)

Properties
- crystal system = cubic



The following is a DFT calculation (PBE) of an optimized crystal structure of ErThTcHg.

Lattice parameters (Å, degrees): 7.251 7.251 7.251 90.00 90.00 90.00
Space group F-43m (No. 216)
One atom of each set of equivalent atoms:
Er  0.000  0.000  0.000 (multiplicity 4)
Th  0.000  0.000  0.500 (multiplicity 4)
Tc  0.250  0.250  0.750 (multiplicity 4)
Hg  0.250  0.250  0.250 (multiplicity 4)

Properties
- crystal system = cubic



The following is a DFT calculation (PBE) of an optimized crystal structure of AcPr5Tl5.

Lattice parameters (Å, degrees): 16.573 6.318 7.498 90.00 98.75 90.00
Space group C2/m (No. 12)
One atom of each set of equivalent atoms:
Ac  0.000  0.000  0.000 (multiplicity 2)
Pr  0.000  0.000  0.500 (multiplicity 2)
Pr  0.141  0.500  0.397 (multiplicity 4)
Pr  0.181  0.500  0.904 (multiplicity 4)
Tl  0.000  0.500  0.000 (multiplicity 2)
Tl  0.171  0.000  0.313 (multiplicity 4)
Tl  0.176  0.000  0.741 (multiplicity 4)

Properties
- crystal system = monoclinic



Final energy list, top to bottom, in eV for the cell shown: -34.459, -92.466, -82.611
Spin magnetization list, top to bottom, in μB/f.u.: 0.0, 0.0, 0.0